VASP calculation (GGA-PBE) on an optimized crystal structure of LiAcPPd.

As for the total magnetization: 0.0 μB per formula unit. The theoretical density is 6.91 g/cm³. As for the energy relative to the elements: -627 meV/atom.

Cell and atoms, written as CIF:
```
data_LiAcPPd
_chemical_formula_sum 'Li4 Ac4 P4 Pd4'
_symmetry_space_group_name_H-M 'F -4 3 m'
_symmetry_Int_Tables_number 216
_symmetry_space_group_name_Hall 'F -4 2 3'
_cell_length_a 7.092
_cell_length_b 7.092
_cell_length_c 7.092
_cell_angle_alpha 90.00
_cell_angle_beta 90.00
_cell_angle_gamma 90.00
loop_
_atom_site_label
_atom_site_type_symbol
_atom_site_fract_x
_atom_site_fract_y
_atom_site_fract_z
Li1 Li 0.000 0.000 0.000
Ac1 Ac 0.000 0.000 0.500
P1 P 0.250 0.250 0.750
Pd1 Pd 0.250 0.250 0.250
```